Computed, not measured: a relaxed structure of K3Mg at the GGA-PBE level of DFT.

abc: 7.972 7.972 6.834
angles: 114.80 114.80 34.98
Positions (direct):
K 0.000 0.000 0.000
K 0.218 0.218 0.718
K 0.782 0.782 0.282
Mg 0.500 0.500 0.500

Calculated values
Space-group type: C2/m (12)

Computed, not measured: a relaxed structure of KMg2 at the GGA-PBE level of DFT.

abc: 5.899 5.899 6.930
angles: 90.00 90.00 120.00
Positions (direct):
K 0.333 0.667 0.250
K 0.667 0.333 0.750
Mg 0.000 0.000 0.000
Mg 0.000 0.000 0.500
Mg 0.333 0.667 0.750
Mg 0.667 0.333 0.250

Calculated values
Space-group type: P6_3/mmc (194)

Computed, not measured: a relaxed structure of K3Mg at the GGA-PBE level of DFT.

abc: 4.236 6.007 8.633
angles: 90.00 95.30 90.00
Positions (direct):
K 0.000 0.000 0.000
K 0.489 0.500 0.718
K 0.511 0.500 0.282
Mg 0.000 0.000 0.500

Calculated values
Space-group type: P2/m (10)

Computed, not measured: a relaxed structure of KMg2 at the GGA-PBE level of DFT.

abc: 6.089 5.332 7.254
angles: 90.00 113.36 90.00
Positions (direct):
K 0.234 0.000 0.007
K 0.766 0.500 0.993
Mg 0.143 0.504 0.554
Mg 0.412 0.004 0.561
Mg 0.588 0.504 0.439
Mg 0.857 0.004 0.446

Calculated values
Space-group type: P2_1 (4)

Computed, not measured: a relaxed structure of KMg2 at the GGA-PBE level of DFT.

abc: 7.742 7.742 7.742
angles: 151.96 151.96 40.08
Positions (direct):
K 0.000 0.000 0.000
Mg 0.305 0.305 0.000
Mg 0.695 0.695 0.000

Calculated values
Space-group type: I4/mmm (139)

Computed, not measured: a relaxed structure of K3Mg at the GGA-PBE level of DFT.

abc: 7.562 7.562 7.562
angles: 90.00 90.00 90.00
Positions (direct):
K 0.000 0.250 0.500
K 0.000 0.750 0.500
K 0.250 0.500 0.000
K 0.500 0.000 0.250
K 0.500 0.000 0.750
K 0.750 0.500 0.000
Mg 0.000 0.000 0.000
Mg 0.500 0.500 0.500

Calculated values
Space-group type: Pm-3n (223)

Computed, not measured: a relaxed structure of K3Mg at the GGA-PBE level of DFT.

abc: 8.578 8.578 6.806
angles: 90.00 90.00 120.00
Positions (direct):
K 0.175 0.350 0.250
K 0.175 0.825 0.250
K 0.350 0.175 0.750
K 0.650 0.825 0.250
K 0.825 0.175 0.750
K 0.825 0.650 0.750
Mg 0.333 0.667 0.750
Mg 0.667 0.333 0.250

Calculated values
Space-group type: P6_3/mmc (194)

Computed, not measured: a relaxed structure of KMg2 at the GGA-PBE level of DFT.

abc: 6.919 6.919 9.189
angles: 92.03 92.03 28.26
Positions (direct):
K 0.000 0.000 0.000
K 0.246 0.246 0.707
Mg 0.353 0.353 0.336
Mg 0.620 0.620 0.359
Mg 0.745 0.745 0.092
Mg 0.984 0.984 0.559

Calculated values
Space-group type: Cm (8)

The following energy of formation from the pure elements values (in eV/atom) correspond, in order, to the records above: 0.14 0.31 0.15 0.13 0.19 0.16 0.14 0.19.